## Li2MnRe2 (PBE-GGA)

Data for a relaxed Li2MnRe2 crystal.

```
data_Li2MnRe2
_chemical_formula_sum 'Li4 Mn2 Re4'
_cell_length_a 5.927
_cell_length_b 5.927
_cell_length_c 4.637
_cell_angle_alpha 90.00
_cell_angle_beta 90.00
_cell_angle_gamma 90.00
_space_group_name_H-M_alt 'P 4/m b m'
_space_group_IT_number 127
_space_group_name_Hall '-P 4 2ab'
loop_
_atom_site_label
_atom_site_fract_x
_atom_site_fract_y
_atom_site_fract_z
Li1 0.166 0.334 0.000
Mn1 0.000 0.000 0.500
Re1 0.142 0.642 0.500
```

## Properties
formation energy	0.697	eV per atom
calculated volume	163	Å³ per cell
DOS(E_F)	0.6968	states/eV per atom